Material: SiGePO2
Method: DFT, PBE-GGA
State: optimized geometry Values from VASP.

## Properties
Total magnetic moment: 0.00 μB per atom
E_form (uncorrected): -1.4 eV per formula unit
ΔE to the lowest computed polymorph: 3.15 eV per formula unit
V: 68.25 Å³ per cell

Quantum ESPRESSO input file:
```
&SYSTEM
  ibrav = 0, nat = 5, ntyp = 4
/
ATOMIC_SPECIES
Ge 72.64 Ge.upf
P 30.97 P.upf
O 16.00 O.upf
Si 28.09 Si.upf
ATOMIC_POSITIONS crystal
Ge 0.0000 0.0000 0.0000
P 0.0000 0.0000 0.5000
O 0.5000 0.0000 0.0000
O 0.0000 0.5000 0.0000
Si 0.5000 0.5000 0.5000
CELL_PARAMETERS angstrom
-2.1319 -0.9679 -2.7556
2.4460 -2.4559 -1.0298
-2.3039 -3.5674 3.0354
```